*P*
Nd2Tm3Cd2 | Alexandria | PBE | optimized geometry; crystal system = orthorhombic
1.0
1.776 -16.432 0.000
1.776 16.432 0.000
0.000 0.000 3.513
Nd Tm Cd
2 3 2
Direct
0.202 0.798 0.000 Nd
0.798 0.202 0.000 Nd
0.073 0.927 0.000 Tm
0.500 0.500 0.500 Tm
0.927 0.073 0.000 Tm
0.366 0.634 0.500 Cd
0.634 0.366 0.500 Cd

=====

*Q*
Nd2Tm3Cd2 | Alexandria | PBE | optimized geometry; crystal system = trigonal
1.0
2.712 1.566 7.994
-2.712 1.566 7.994
0.000 -3.132 7.994
Nd Tm Cd
2 3 2
Direct
0.076 0.076 0.076 Nd
0.924 0.924 0.924 Nd
0.345 0.345 0.345 Tm
0.500 0.500 0.500 Tm
0.655 0.655 0.655 Tm
0.214 0.214 0.214 Cd
0.786 0.786 0.786 Cd

=====

Last place for stability: *P*

=====

*P*
Nd2Tm2Cd | Alexandria | PBE | optimized geometry; crystal system = monoclinic
1.0
4.241 -4.676 0.000
4.241 4.676 0.000
-3.773 0.000 7.672
Nd Tm Cd
4 4 2
Direct
0.166 0.166 0.434 Nd
0.283 0.283 0.883 Nd
0.717 0.717 0.117 Nd
0.834 0.834 0.566 Nd
0.244 0.610 0.280 Tm
0.390 0.756 0.720 Tm
0.610 0.244 0.280 Tm
0.756 0.390 0.720 Tm
0.160 0.840 0.000 Cd
0.840 0.160 0.000 Cd

=====

*Q*
Nd2Tm2Cd | Alexandria | PBE | optimized geometry; crystal system = tetragonal
1.0
-1.798 1.798 11.720
1.798 -1.798 11.720
1.798 1.798 -11.720
Nd Tm Cd
2 2 1
Direct
0.193 0.193 0.000 Nd
0.807 0.807 0.000 Nd
0.415 0.415 0.000 Tm
0.585 0.585 0.000 Tm
0.000 0.000 0.000 Cd

=====

Last place for stability: *P*